No. 1
# CeTmTl4 GGA-PBE optimized geometry
data_CeTmTl4
_space_group_name_H-M_alt 'P 1'
_space_group_IT_number 1
_cell_length_a 5.146
_cell_length_b 5.148
_cell_length_c 7.427
_cell_angle_alpha 89.95
_cell_angle_beta 89.96
_cell_angle_gamma 90.00
loop_
_space_group_symop_operation_xyz
'x,y,z'
loop_
_atom_site_label
_atom_site_type_symbol
_atom_site_fract_x
_atom_site_fract_y
_atom_site_fract_z
Ce1 Ce 0.501 0.497 0.998
Tl1 Tl 0.502 0.997 0.265
Tl2 Tl 0.501 0.998 0.732
Tl3 Tl 0.001 0.497 0.731
Tl4 Tl 0.001 0.498 0.265
Tm1 Tm 0.001 0.997 0.498
# uncorrected energy: -3.2621 eV per atom
# space group: C2/m (12)

=====

No. 2
# Ce2Tm2Tl7 GGA-PBE optimized geometry
data_Ce2Tm2Tl7
_space_group_name_H-M_alt 'P 1'
_space_group_IT_number 1
_cell_length_a 6.880
_cell_length_b 8.013
_cell_length_c 6.880
_cell_angle_alpha 90.00
_cell_angle_beta 104.67
_cell_angle_gamma 90.00
loop_
_space_group_symop_operation_xyz
'x,y,z'
loop_
_atom_site_label
_atom_site_type_symbol
_atom_site_fract_x
_atom_site_fract_y
_atom_site_fract_z
Tl1 Tl 0.000 0.000 0.000
Tl2 Tl 0.500 0.302 0.000
Tl3 Tl 0.500 0.703 0.500
Tl4 Tl 0.500 0.698 0.000
Tl5 Tl 0.000 0.698 0.500
Tl6 Tl 0.500 0.297 0.500
Tl7 Tl 0.000 0.302 0.500
Ce1 Ce 0.305 0.000 0.695
Ce2 Ce 0.695 0.000 0.305
Tm1 Tm 0.805 0.500 0.805
Tm2 Tm 0.195 0.500 0.195
# uncorrected energy: -3.2615 eV per atom
# space group: Cmmm (65)

=====

No. 3
# Ce3Tm5Tl12 GGA-PBE optimized geometry
data_Ce3Tm5Tl12
_space_group_name_H-M_alt 'P 1'
_space_group_IT_number 1
_cell_length_a 15.557
_cell_length_b 15.557
_cell_length_c 15.557
_cell_angle_alpha 109.47
_cell_angle_beta 109.47
_cell_angle_gamma 109.47
loop_
_space_group_symop_operation_xyz
'x,y,z'
loop_
_atom_site_label
_atom_site_type_symbol
_atom_site_fract_x
_atom_site_fract_y
_atom_site_fract_z
Tl1 Tl 0.340 0.776 0.416
Tl2 Tl 0.436 0.776 0.859
Tl3 Tl 0.224 0.660 0.084
Tl4 Tl 0.859 0.276 0.436
Tl5 Tl 0.141 0.416 0.076
Tl6 Tl 0.160 0.084 0.724
Tl7 Tl 0.924 0.084 0.859
Tl8 Tl 0.436 0.660 0.076
Tl9 Tl 0.724 0.584 0.160
Tl10 Tl 0.584 0.859 0.424
Tl11 Tl 0.660 0.436 0.576
Tl12 Tl 0.276 0.859 0.936
Tl13 Tl 0.359 0.936 0.776
Tl14 Tl 0.564 0.224 0.141
Tl15 Tl 0.916 0.840 0.776
Tl16 Tl 0.776 0.340 0.916
Tl17 Tl 0.340 0.564 0.424
Tl18 Tl 0.924 0.840 0.564
Tl19 Tl 0.416 0.141 0.576
Tl20 Tl 0.084 0.924 0.359
Tl21 Tl 0.584 0.724 0.660
Tl22 Tl 0.576 0.936 0.660
Tl23 Tl 0.641 0.064 0.224
Tl24 Tl 0.064 0.424 0.840
Tl25 Tl 0.276 0.416 0.840
Tl26 Tl 0.840 0.916 0.276
Tl27 Tl 0.936 0.576 0.160
Tl28 Tl 0.084 0.160 0.224
Tl29 Tl 0.224 0.564 0.641
Tl30 Tl 0.936 0.359 0.276
Tl31 Tl 0.076 0.160 0.436
Tl32 Tl 0.724 0.141 0.064
Tl33 Tl 0.859 0.584 0.924
Tl34 Tl 0.064 0.641 0.724
Tl35 Tl 0.564 0.340 0.924
Tl36 Tl 0.776 0.436 0.359
Tl37 Tl 0.424 0.064 0.340
Tl38 Tl 0.840 0.924 0.064
Tl39 Tl 0.359 0.424 0.084
Tl40 Tl 0.160 0.076 0.936
Tl41 Tl 0.424 0.359 0.584
Tl42 Tl 0.416 0.276 0.340
Tl43 Tl 0.141 0.724 0.564
Tl44 Tl 0.660 0.224 0.584
Tl45 Tl 0.916 0.076 0.641
Tl46 Tl 0.576 0.641 0.416
Tl47 Tl 0.641 0.576 0.916
Tl48 Tl 0.076 0.916 0.141
Tm1 Tm 0.500 0.500 0.500
Tm2 Tm 0.000 0.500 0.500
Tm3 Tm 0.500 0.000 0.000
Tm4 Tm 0.250 0.375 0.625
Tm5 Tm 0.125 0.375 0.250
Tm6 Tm 0.250 0.875 0.125
Tm7 Tm 0.875 0.250 0.625
Tm8 Tm 0.375 0.125 0.750
Tm9 Tm 0.125 0.750 0.375
Tm10 Tm 0.000 0.000 0.000
Tm11 Tm 0.625 0.875 0.250
Tm12 Tm 0.500 0.500 0.000
Tm13 Tm 0.875 0.625 0.750
Tm14 Tm 0.375 0.250 0.125
Tm15 Tm 0.000 0.500 0.000
Tm16 Tm 0.750 0.125 0.875
Tm17 Tm 0.750 0.625 0.375
Tm18 Tm 0.625 0.750 0.875
Tm19 Tm 0.500 0.000 0.500
Tm20 Tm 0.000 0.000 0.500
Ce1 Ce 0.250 0.125 0.375
Ce2 Ce 0.125 0.250 0.875
Ce3 Ce 0.625 0.250 0.375
Ce4 Ce 0.250 0.625 0.875
Ce5 Ce 0.375 0.750 0.625
Ce6 Ce 0.750 0.875 0.625
Ce7 Ce 0.125 0.875 0.750
Ce8 Ce 0.750 0.375 0.125
Ce9 Ce 0.875 0.125 0.250
Ce10 Ce 0.875 0.750 0.125
Ce11 Ce 0.625 0.375 0.750
Ce12 Ce 0.375 0.625 0.250
# uncorrected energy: -3.1605 eV per atom
# space group: Ia-3d (230)